Here is crystalline ZrHPt2 at its relaxed geometry from Alexandria. Energies are from GGA-PBE.

Its space-group type is R-3m (166).

a b c (Å): 2.927 2.927 7.995
angles (deg): 79.45 79.45 60.00
Element x y z (fractional)
H  0.500  0.500  0.500
Zr  0.000  0.000  0.000
Pt  0.112  0.112  0.665
Pt  0.888  0.888  0.335

Here is crystalline CoW2 at its relaxed geometry from Alexandria. Energies are from GGA-PBE.

The value obtained for the formation energy is 0.249 eV/atom. Its space-group type is P-3m1 (164).

a b c (Å): 4.383 4.383 2.665
angles (deg): 90.00 90.00 120.00
Element x y z (fractional)
Co  0.000  0.000  0.000
W  0.333  0.667  0.327
W  0.667  0.333  0.673

Here is crystalline YPH2Se at its relaxed geometry from Alexandria. Energies are from GGA-PBE.

Its space-group type is P4/mmm (123).

a b c (Å): 3.793 6.234 3.793
angles (deg): 90.00 90.00 90.00
Element x y z (fractional)
Y  0.000  0.500  0.000
P  0.500  0.500  0.500
Se  0.000  0.000  0.000
H  0.000  0.000  0.500
H  0.500  0.000  0.000

Here is crystalline Pm5Cd2Co2 at its relaxed geometry from Alexandria. Energies are from GGA-PBE.

The value obtained for the formation energy is -0.149 eV/atom. Its space-group type is Cmce (64).

a b c (Å): 7.402 7.692 9.077
angles (deg): 90.00 65.94 90.00
Element x y z (fractional)
Pm  0.000  0.000  0.000
Pm  0.500  0.500  0.000
Pm  0.434  0.186  0.764
Pm  0.801  0.814  0.764
Pm  0.301  0.686  0.764
Pm  0.934  0.314  0.764
Pm  0.566  0.814  0.236
Pm  0.199  0.186  0.236
Pm  0.699  0.314  0.236
Pm  0.066  0.686  0.236
Cd  0.224  0.000  0.552
Cd  0.724  0.500  0.552
Cd  0.776  0.000  0.448
Cd  0.276  0.500  0.448
Co  0.108  0.388  0.000
Co  0.892  0.612  0.000
Co  0.392  0.888  0.000
Co  0.608  0.112  0.000

Here is crystalline DyYAlPt at its relaxed geometry from Alexandria. Energies are from GGA-PBE.

The value obtained for the formation energy is -0.836 eV/atom. Its space-group type is Amm2 (38).

a b c (Å): 3.851 4.420 5.827
angles (deg): 90.00 109.30 90.00
Element x y z (fractional)
Dy  0.854  0.500  0.708
Y  0.145  0.000  0.290
Al  0.431  0.000  0.861
Pt  0.570  0.500  0.140

Here is crystalline Cd2CoTc at its relaxed geometry from Alexandria. Energies are from GGA-PBE.

The value obtained for the formation energy is 0.494 eV/atom. Its space-group type is P2/m (10).

a b c (Å): 2.769 5.032 5.709
angles (deg): 55.77 90.00 90.00
Element x y z (fractional)
Cd  0.000  0.000  0.000
Cd  0.500  0.500  0.000
Co  0.500  0.500  0.500
Tc  0.000  0.000  0.500

Here is crystalline VPd2I8 at its relaxed geometry from Alexandria. Energies are from GGA-PBE.

Its space-group type is C2/m (12). The formation energy (no corrections) is -0.14 eV/atom.

a b c (Å): 11.177 7.969 8.024
angles (deg): 99.32 90.00 134.53
Element x y z (fractional)
V  0.000  0.000  0.000
Pd  0.875  0.749  0.623
Pd  0.125  0.251  0.377
I  0.979  0.311  0.150
I  0.332  0.311  0.150
I  0.021  0.689  0.850
I  0.362  0.725  0.510
I  0.668  0.689  0.850
I  0.880  0.760  0.280
I  0.120  0.240  0.720
I  0.638  0.275  0.490

Here is crystalline TlSiHg2 at its relaxed geometry from Alexandria. Energies are from GGA-PBE.

Its space-group type is P4mm (99). The formation energy (no corrections) is 0.34 eV/atom.

a b c (Å): 3.393 3.393 8.625
angles (deg): 90.00 90.00 90.00
Element x y z (fractional)
Hg  0.000  0.000  0.018
Hg  0.500  0.500  0.286
Si  0.000  0.000  0.475
Tl  0.500  0.500  0.722

| no. | E_tot (eV/atom) |
| --- | --- |
| 1 | -5.93 |
| 2 | -10.75 |
| 3 | -4.68 |
| 4 | -4.57 |
| 5 | -6.05 |
| 6 | -4.33 |
| 7 | -3.04 |
| 8 | -1.76 |